[1]
Below is crystalline DyCdBiAu at its relaxed geometry, with properties calculated at the PBE level.

As for the formation energy: -0.364 eV/atom. The value obtained for the calculated volume is 399.8 Å³ per cell. As for the total moment: 0.0 μB per cell. The total energy comes out at -56.52 eV for the cell shown.

The space group is F-43m (No. 216) and the conventional cell measures 7.367, 7.367 and 7.367 Å, with angles of 90.00, 90.00 and 90.00 degrees. The inequivalent atoms are Dy at (0.000, 0.000, 0.000), Cd at (0.000, 0.000, 0.500), Bi at (0.250, 0.250, 0.750) and Au at (0.250, 0.250, 0.250).


[2]
Below is crystalline ZrTlAu2 at its relaxed geometry, with properties calculated at the PBE level.

As for the formation energy: -0.166 eV/atom. The value obtained for the calculated volume is 176.1 Å³ per cell. As for the total moment: 0.0 μB per cell. The total energy comes out at -36.26 eV for the cell shown.

The space group is C2/m (No. 12) and the conventional cell measures 9.167, 3.508 and 5.607 Å, with angles of 90.00, 102.42 and 90.00 degrees. The inequivalent atoms are Zr at (0.000, 0.000, 0.000), Tl at (0.000, 0.500, 0.500) and Au at (0.237, 0.500, 0.213).


[3]
Below is crystalline TiCuRh3 at its relaxed geometry, with properties calculated at the PBE level.

As for the formation energy: 0.737 eV/atom. The value obtained for the calculated volume is 91.5 Å³ per cell. As for the total moment: 0.0 μB per cell. The total energy comes out at -30.36 eV for the cell shown.

The space group is Pm-3m (No. 221) and the conventional cell measures 4.506, 4.506 and 4.506 Å, with angles of 90.00, 90.00 and 90.00 degrees. The inequivalent atoms are Ti at (0.000, 0.000, 0.000), Cu at (0.500, 0.500, 0.500) and Rh at (0.000, 0.000, 0.500).


[4]
Below is crystalline ErGaNi at its relaxed geometry, with properties calculated at the PBE level.

As for the formation energy: -0.596 eV/atom. The value obtained for the calculated volume is 111.8 Å³ per cell. As for the total moment: 0.0 μB per cell. The total energy comes out at -30.32 eV for the cell shown.

The space group is P4/nmm (No. 129, origin choice 2) and the conventional cell measures 4.162, 4.162 and 6.453 Å, with angles of 90.00, 90.00 and 90.00 degrees. The inequivalent atoms are Er at (0.250, 0.250, 0.189), Ga at (0.250, 0.250, 0.705) and Ni at (0.250, 0.750, 0.500).


[5]
Below is crystalline Ho5CS5 at its relaxed geometry, with properties calculated at the PBE level.

The formation energy (no corrections) comes out at -1798 meV per atom. The value obtained for the calculated volume is 479.1 Å³ per cell. As for the total moment: 0.0 μB per cell. The total energy comes out at -145.05 eV for the cell shown.

The space group is C2/m (No. 12) and the conventional cell measures 12.230, 5.419 and 7.625 Å, with angles of 90.00, 108.54 and 90.00 degrees. The inequivalent atoms are Ho at (0.000, 0.000, 0.000), Ho at (0.149, 0.500, 0.839), Ho at (0.154, 0.500, 0.314), C at (0.000, 0.500, 0.000), S at (0.000, 0.500, 0.500), S at (0.168, 0.000, 0.836) and S at (0.175, 0.000, 0.331).


[6]
Below is crystalline ZrBe2Os at its relaxed geometry, with properties calculated at the PBE level.

As for the formation energy: 0.011 eV/atom. The value obtained for the calculated volume is 56.0 Å³ per cell. As for the total moment: 0.0 μB per cell. The total energy comes out at -27.19 eV for the cell shown.

The space group is P4mm (No. 99) and the conventional cell measures 3.009, 3.009 and 6.186 Å, with angles of 90.00, 90.00 and 90.00 degrees. The inequivalent atoms are Zr at (0.000, 0.000, 0.000), Be at (0.000, 0.000, 0.520), Be at (0.500, 0.500, 0.332) and Os at (0.500, 0.500, 0.702).


[7]
Below is crystalline AcHBrCl at its relaxed geometry, with properties calculated at the PBE level.

The value obtained for the calculated volume is 344.2 Å³ per cell. As for the total moment: 0.0 μB per cell. The total energy comes out at -53.74 eV for the cell shown.

The space group is R3m (No. 160, hexagonal axes) and the conventional cell measures 4.2746, 4.2746 and 21.7495 Å, with angles of 90.00, 90.00 and 120.00 degrees. The inequivalent atoms are Ac at (0.0000, 0.0000, 0.0000), H at (0.0000, 0.0000, 0.3342), Br at (0.0000, 0.0000, 0.7593) and Cl at (0.0000, 0.0000, 0.5854).


[8]
Below is crystalline Ni2Sn3Se3 at its relaxed geometry, with properties calculated at the PBE level.

The formation energy (no corrections) comes out at -344 meV per atom. The value obtained for the calculated volume is 2141.9 Å³ per cell. As for the total moment: 0.0 μB per cell. The total energy comes out at -441.30 eV for the cell shown.

The space group is R-3 (No. 148, hexagonal axes) and the conventional cell measures 12.6876, 12.6876 and 15.3640 Å, with angles of 90.00, 90.00 and 120.00 degrees. The inequivalent atoms are Ni at (0.0000, 0.0000, 0.2424), Ni at (0.0006, 0.4971, 0.7590), Sn at (0.0069, 0.8365, 0.3382), Sn at (0.0590, 0.2728, 0.9411), Se at (0.0125, 0.8365, 0.8321) and Se at (0.0548, 0.4478, 0.1024).